Below is an optimized crystal structure of DyNpPdRu, with properties calculated at the GGA-PBE level.

## Properties
**Crystal system**: cubic
**Total magnetization**: 3.5 μB/cell
**SG**: F-43m
**Total DFT energy (no corrections)**: -33.12 eV per formula unit

a = 4.8612 Å, b = 4.8612 Å, c = 4.8612 Å
α = 60.00°, β = 60.00°, γ = 60.00°
With the nearest neighbours (Å) after each atom.
Sites, in units of the cell vectors:
Dy1 0.0000 0.0000 0.0000  4 Ru 2.98, 4 Pd 2.98
Np1 0.5000 0.5000 0.5000  4 Ru 2.98, 4 Pd 2.98
Pd1 0.2500 0.2500 0.2500  4 Dy 2.98, 4 Np 2.98
Ru1 0.7500 0.7500 0.7500  4 Dy 2.98, 4 Np 2.98

=====

Below is an optimized crystal structure of DyNp2PdSe5, with properties calculated at the GGA-PBE level.

## Properties
**Crystal system**: orthorhombic
**Total magnetization**: 14.6 μB/cell
**ΔE_f (raw)**: -1.19 eV/atom
**SG**: Cmc2_1
**Total DFT energy (no corrections)**: -63.77 eV per formula unit

a = 8.8133 Å, b = 8.8133 Å, c = 12.3142 Å
α = 90.00°, β = 90.00°, γ = 154.22°
With the nearest neighbours (Å) after each atom.
Sites, in units of the cell vectors:
Dy1 0.1752 0.8248 0.5000  6 Se 2.87-2.93, 2 Pd 3.09
Dy2 0.8248 0.1752 0.0000  6 Se 2.87-2.93, 2 Pd 3.09
Np1 0.1042 0.8958 0.8269  7 Se 2.89-3.17
Np2 0.1218 0.8782 0.1739  8 Se 2.95-3.18
Np3 0.8782 0.1218 0.6739  8 Se 2.95-3.18
Np4 0.8958 0.1042 0.3269  7 Se 2.89-3.17
Pd1 0.4423 0.5577 0.8965  4 Se 2.46-2.54
Pd2 0.5577 0.4423 0.3965  4 Se 2.46-2.54
Se1 0.0077 0.9923 0.5021  2 Pd 2.51
Se2 0.3035 0.6965 0.8266  1 Pd 2.54
Se3 0.3066 0.6934 0.1682  2 Dy 2.87, 3 Np 3.17-3.18
Se4 0.3421 0.6579 0.4970  1 Dy 2.87, 4 Np 3.00-3.02
Se5 0.4973 0.5027 0.2152  1 Pd 2.46
Se6 0.5027 0.4973 0.7152  1 Pd 2.46
Se7 0.6579 0.3421 0.9970  1 Dy 2.87, 4 Np 3.00-3.02
Se8 0.6934 0.3066 0.6682  2 Dy 2.87, 3 Np 3.17-3.18
Se9 0.6965 0.3035 0.3266  1 Pd 2.54
Se10 0.9923 0.0077 0.0021  2 Pd 2.51

=====

Below is an optimized crystal structure of DyNpTe3Pd, with properties calculated at the GGA-PBE level.

## Properties
**Crystal system**: monoclinic
**Total magnetization**: 7.9 μB/cell
**ΔE_f (raw)**: -0.92 eV/atom
**SG**: P2_1/m
**Total DFT energy (no corrections)**: -37.71 eV per formula unit

a = 8.3040 Å, b = 4.1996 Å, c = 9.9146 Å
α = 90.00°, β = 100.95°, γ = 90.00°
With the nearest neighbours (Å) after each atom.
Sites, in units of the cell vectors:
Dy1 0.1758 0.2500 0.1806  6 Te 2.98-3.21
Dy2 0.8242 0.7500 0.8194  6 Te 2.98-3.21
Np1 0.3215 0.7500 0.7201  6 Te 3.12-3.23, 3 Pd 3.33-3.45
Np2 0.6785 0.2500 0.2799  6 Te 3.12-3.23, 3 Pd 3.33-3.45
Te1 0.0982 0.2500 0.8508  3 Dy 3.07-3.21, 2 Np 3.23
Te2 0.2282 0.2500 0.4862  3 Pd 2.80-2.95, 1 Dy 2.98, 2 Np 3.12
Te3 0.4237 0.7500 0.1340  1 Pd 2.73, 2 Dy 3.04
Te4 0.5763 0.2500 0.8660  1 Pd 2.73, 2 Dy 3.04
Te5 0.7718 0.7500 0.5138  3 Pd 2.80-2.95, 1 Dy 2.98, 2 Np 3.12
Te6 0.9018 0.7500 0.1492  3 Dy 3.07-3.21, 2 Np 3.23
Pd1 0.4146 0.7500 0.4077  4 Te 2.73-2.95, 2 Pd 2.96
Pd2 0.5854 0.2500 0.5923  4 Te 2.73-2.95, 2 Pd 2.96

=====

Below is an optimized crystal structure of PmDyNp2S4, with properties calculated at the GGA-PBE level.

## Properties
**Crystal system**: monoclinic
**Total magnetization**: 8.7 μB/cell
**ΔE_f (raw)**: -1.70 eV/atom
**SG**: P2/m
**Total DFT energy (no corrections)**: -65.33 eV per formula unit

a = 6.8017 Å, b = 3.9403 Å, c = 6.8457 Å
α = 90.00°, β = 109.45°, γ = 90.00°
With the nearest neighbours (Å) after each atom.
Sites, in units of the cell vectors:
Pm1 0.0000 0.0000 0.0000  6 S 2.83
Dy1 0.0000 0.5000 0.5000  6 S 2.79
Np1 0.5000 0.0000 0.5000  6 S 2.74
Np2 0.5000 0.5000 0.0000  6 S 2.79
S1 0.2535 0.0000 0.7462  3 Np 2.74-2.79, 2 Dy 2.79, 1 Pm 2.83
S2 0.2576 0.5000 0.2576  3 Np 2.74-2.79, 1 Dy 2.79, 2 Pm 2.83
S3 0.7424 0.5000 0.7424  3 Np 2.74-2.79, 1 Dy 2.79, 2 Pm 2.83
S4 0.7465 0.0000 0.2538  3 Np 2.74-2.79, 2 Dy 2.79, 1 Pm 2.83

=====

Below is an optimized crystal structure of DyNpPt2, with properties calculated at the GGA-PBE level.

## Properties
**Crystal system**: tetragonal
**Total magnetization**: 4.1 μB/cell
**SG**: P4/mmm
**Total DFT energy (no corrections)**: -32.82 eV per formula unit
**Excess energy over the best structure of this formula in the dataset**: 0.0 meV per atom

a = 5.0101 Å, b = 5.0101 Å, c = 3.3942 Å
α = 90.00°, β = 90.00°, γ = 90.00°
With the nearest neighbours (Å) after each atom.
Sites, in units of the cell vectors:
Dy1 0.0000 0.0000 0.0000  8 Pt 3.03
Np1 0.5000 0.5000 0.0000  8 Pt 3.03
Pt1 0.0000 0.5000 0.5000  4 Dy 3.03, 4 Np 3.03
Pt2 0.5000 0.0000 0.5000  4 Dy 3.03, 4 Np 3.03

=====

Below is an optimized crystal structure of DyNpPt4, with properties calculated at the GGA-PBE level.

## Properties
**Crystal system**: cubic
**Total magnetization**: 4.1 μB/cell
**SG**: F-43m
**Total DFT energy (no corrections)**: -46.76 eV per formula unit

a = 5.4392 Å, b = 5.4392 Å, c = 5.4392 Å
α = 60.00°, β = 60.00°, γ = 60.00°
With the nearest neighbours (Å) after each atom.
Sites, in units of the cell vectors:
Dy1 0.0000 0.0000 0.0000  12 Pt 3.19, 4 Np 3.33
Np1 0.7500 0.7500 0.7500  12 Pt 3.19, 4 Dy 3.33
Pt1 0.3750 0.3750 0.3750  6 Pt 2.72
Pt2 0.3750 0.3750 0.8749  6 Pt 2.72
Pt3 0.3750 0.8749 0.3750  6 Pt 2.72
Pt4 0.8749 0.3750 0.3750  6 Pt 2.72

=====

Below is an optimized crystal structure of DyNpPt6, with properties calculated at the GGA-PBE level.

## Properties
**Crystal system**: tetragonal
**Total magnetization**: 2.7 μB/cell
**SG**: P4/mmm
**Total DFT energy (no corrections)**: -60.50 eV per formula unit

a = 4.1363 Å, b = 4.1363 Å, c = 8.2696 Å
α = 90.00°, β = 90.00°, γ = 90.00°
With the nearest neighbours (Å) after each atom.
Sites, in units of the cell vectors:
Dy1 0.0000 0.0000 0.0000  12 Pt 2.92-2.94
Np1 0.0000 0.0000 0.5000  12 Pt 2.91-2.92
Pt1 0.0000 0.5000 0.2527  2 Np 2.91, 8 Pt 2.91-2.94, 2 Dy 2.94
Pt2 0.0000 0.5000 0.7473  2 Np 2.91, 8 Pt 2.91-2.94, 2 Dy 2.94
Pt3 0.5000 0.0000 0.2527  2 Np 2.91, 8 Pt 2.91-2.94, 2 Dy 2.94
Pt4 0.5000 0.0000 0.7473  2 Np 2.91, 8 Pt 2.91-2.94, 2 Dy 2.94
Pt5 0.5000 0.5000 0.0000  4 Dy 2.92, 8 Pt 2.94
Pt6 0.5000 0.5000 0.5000  8 Pt 2.91, 4 Np 2.92

=====

Below is an optimized crystal structure of DyNpPt2, with properties calculated at the GGA-PBE level.

## Properties
**Crystal system**: cubic
**Total magnetization**: 4.2 μB/cell
**SG**: Fm-3m
**Total DFT energy (no corrections)**: -32.68 eV per formula unit
**Excess energy over the best structure of this formula in the dataset**: 34.5 meV per atom

a = 4.9471 Å, b = 4.9471 Å, c = 4.9471 Å
α = 60.00°, β = 60.00°, γ = 60.00°
With the nearest neighbours (Å) after each atom.
Sites, in units of the cell vectors:
Dy1 0.0000 0.0000 0.0000  8 Pt 3.03
Np1 0.5000 0.5000 0.5000  8 Pt 3.03
Pt1 0.2500 0.2500 0.2500  4 Dy 3.03, 4 Np 3.03
Pt2 0.7500 0.7500 0.7500  4 Dy 3.03, 4 Np 3.03

=====

Below is an optimized crystal structure of Dy3NpPt12, with properties calculated at the GGA-PBE level.

## Properties
**Crystal system**: tetragonal
**Total magnetization**: 2.6 μB/cell
**SG**: P4/mmm
**Total DFT energy (no corrections)**: -114.26 eV per formula unit

a = 4.1280 Å, b = 4.1280 Å, c = 16.4919 Å
α = 90.00°, β = 90.00°, γ = 90.00°
With the nearest neighbours (Å) after each atom.
Sites, in units of the cell vectors:
Dy1 0.0000 0.0000 0.0000  12 Pt 2.91-2.92
Dy2 0.0000 0.0000 0.2473  12 Pt 2.89-2.96
Dy3 0.0000 0.0000 0.7527  12 Pt 2.89-2.96
Np1 0.0000 0.0000 0.5000  12 Pt 2.90-2.92
Pt1 0.0000 0.5000 0.1244  4 Dy 2.89-2.91, 8 Pt 2.91-2.92
Pt2 0.0000 0.5000 0.3763  8 Pt 2.90-2.94, 2 Np 2.90, 2 Dy 2.96
Pt3 0.0000 0.5000 0.6237  8 Pt 2.90-2.94, 2 Np 2.90, 2 Dy 2.96
Pt4 0.0000 0.5000 0.8756  4 Dy 2.89-2.91, 8 Pt 2.91-2.92
Pt5 0.5000 0.0000 0.1244  4 Dy 2.89-2.91, 8 Pt 2.91-2.92
Pt6 0.5000 0.0000 0.3763  8 Pt 2.90-2.94, 2 Np 2.90, 2 Dy 2.96
Pt7 0.5000 0.0000 0.6237  8 Pt 2.90-2.94, 2 Np 2.90, 2 Dy 2.96
Pt8 0.5000 0.0000 0.8756  4 Dy 2.89-2.91, 8 Pt 2.91-2.92
Pt9 0.5000 0.5000 0.0000  8 Pt 2.91, 4 Dy 2.92
Pt10 0.5000 0.5000 0.2496  4 Dy 2.92, 8 Pt 2.92-2.94
Pt11 0.5000 0.5000 0.5000  8 Pt 2.90, 4 Np 2.92
Pt12 0.5000 0.5000 0.7504  4 Dy 2.92, 8 Pt 2.92-2.94

=====

Below is an optimized crystal structure of DyNpPt2, with properties calculated at the GGA-PBE level.

## Properties
**Crystal system**: trigonal
**Total magnetization**: 3.6 μB/cell
**SG**: R-3m
**Total DFT energy (no corrections)**: -32.67 eV per formula unit
**Excess energy over the best structure of this formula in the dataset**: 37.8 meV per atom

a = 6.9239 Å, b = 6.9239 Å, c = 6.9239 Å
α = 34.46°, β = 34.46°, γ = 34.46°
With the nearest neighbours (Å) after each atom.
Sites, in units of the cell vectors:
Dy1 0.0000 0.0000 0.0000  6 Pt 2.92
Np1 0.5000 0.5000 0.5000  6 Pt 2.83
Pt1 0.2462 0.2462 0.2462  3 Np 2.83, 3 Dy 2.92
Pt2 0.7538 0.7538 0.7538  3 Np 2.83, 3 Dy 2.92

=====

Below is an optimized crystal structure of DyNpRuPt, with properties calculated at the GGA-PBE level.

## Properties
**Crystal system**: cubic
**Total magnetization**: 3.4 μB/cell
**SG**: F-43m
**Total DFT energy (no corrections)**: -34.65 eV per formula unit

a = 4.8569 Å, b = 4.8569 Å, c = 4.8569 Å
α = 60.00°, β = 60.00°, γ = 60.00°
With the nearest neighbours (Å) after each atom.
Sites, in units of the cell vectors:
Dy1 0.0000 0.0000 0.0000  4 Ru 2.97, 4 Pt 2.97
Np1 0.5000 0.5000 0.5000  4 Ru 2.97, 4 Pt 2.97
Ru1 0.7500 0.7500 0.7500  4 Dy 2.97, 4 Np 2.97
Pt1 0.2500 0.2500 0.2500  4 Dy 2.97, 4 Np 2.97

=====

Below is an optimized crystal structure of DyNp2Si2Pt7, with properties calculated at the GGA-PBE level.

## Properties
**Crystal system**: monoclinic
**Total magnetization**: 8.2 μB/cell
**ΔE_f (raw)**: -0.84 eV/atom
**SG**: C2/m
**Total DFT energy (no corrections)**: -93.64 eV per formula unit

a = 4.0423 Å, b = 4.0423 Å, c = 13.8680 Å
α = 95.89°, β = 95.89°, γ = 89.30°
With the nearest neighbours (Å) after each atom.
Sites, in units of the cell vectors:
Dy1 0.0000 0.0000 0.0000  12 Pt 2.84-2.99
Np1 0.1143 0.1143 0.3595  5 Pt 2.98-3.11, 4 Si 3.15-3.28
Np2 0.8857 0.8857 0.6405  5 Pt 2.98-3.11, 4 Si 3.15-3.28
Si1 0.4091 0.4091 0.7456  5 Pt 2.37-2.40
Si2 0.5909 0.5909 0.2544  5 Pt 2.37-2.40
Pt1 0.0577 0.5567 0.1601  2 Si 2.40
Pt2 0.3692 0.3692 0.5734  1 Si 2.37
Pt3 0.4433 0.9423 0.8399  2 Si 2.40
Pt4 0.5000 0.5000 0.0000  4 Dy 2.84-2.88, 8 Pt 2.98-2.99
Pt5 0.5567 0.0577 0.1601  2 Si 2.40
Pt6 0.6308 0.6308 0.4266  1 Si 2.37
Pt7 0.9423 0.4433 0.8399  2 Si 2.40